(1)
DFT (PBE) results for crystalline CaSc2Tl at its relaxed geometry.

Lattice parameters (Å, degrees): 4.616 4.616 9.722 90.00 90.00 90.00
Space group I-4m2 (No. 119)
Unique sites:
Ca: 0.000 0.000 0.000 x2
Sc: 0.000 0.000 0.500 x2
Sc: 0.000 0.500 0.750 x2
Tl: 0.000 0.500 0.250 x2

Computed properties:
energy relative to the elements = -37 meV per atom
magnetic moment = 0.74 μB per formula unit



(2)
DFT (PBE) results for crystalline Ca3ScTl at its relaxed geometry.

Lattice parameters (Å, degrees): 5.976 5.976 5.976 90.00 90.00 90.00
Space group Pm-3m (No. 221)
Unique sites:
Ca: 0.000 0.000 0.500 x3
Sc: 0.000 0.000 0.000 x1
Tl: 0.500 0.500 0.500 x1

Computed properties:
energy relative to the elements = 660 meV per atom
energy relative to the lowest polymorph listed for this composition = 0.338 eV/atom
magnetic moment = 2.68 μB per formula unit



(3)
DFT (PBE) results for crystalline CaSc2Tl at its relaxed geometry.

Lattice parameters (Å, degrees): 3.4598 3.4598 32.4580 90.00 90.00 120.00
Space group R-3m (No. 166, hexagonal axes)
Unique sites:
Ca: 0.0000 0.0000 0.0000 x3
Sc: 0.0000 0.0000 0.2417 x6
Tl: 0.0000 0.0000 0.5000 x3

Computed properties:
energy relative to the elements = 54 meV per atom
magnetic moment = 1.33 μB per formula unit



(4)
DFT (PBE) results for crystalline CaSc2Tl at its relaxed geometry.

Lattice parameters (Å, degrees): 3.501 3.501 8.880 90.00 90.00 90.00
Space group P4mm (No. 99)
Unique sites:
Ca: 0.000 0.000 0.000 x1
Sc: 0.000 0.000 0.526 x1
Sc: 0.500 0.500 0.302 x1
Tl: 0.500 0.500 0.745 x1

Computed properties:
energy relative to the elements = -116 meV per atom
magnetic moment = 0.65 μB per formula unit



(5)
DFT (PBE) results for crystalline CaTmSc2Tl4 at its relaxed geometry.

Lattice parameters (Å, degrees): 5.2438 5.2438 25.7321 90.00 90.00 120.00
Space group R-3m (No. 166, hexagonal axes)
Unique sites:
Ca: 0.0000 0.0000 0.0000 x3
Tm: 0.0000 0.0000 0.5000 x3
Sc: 0.0000 0.0000 0.2505 x6
Tl: 0.0000 0.0000 0.1258 x6
Tl: 0.0000 0.0000 0.3761 x6

Computed properties:
energy relative to the elements = -284 meV per atom
magnetic moment = 0.00 μB per formula unit



(6)
DFT (PBE) results for crystalline CaScTlZn at its relaxed geometry.

Lattice parameters (Å, degrees): 7.254 7.254 7.254 90.00 90.00 90.00
Space group F-43m (No. 216)
Unique sites:
Ca: 0.000 0.000 0.000 x4
Sc: 0.000 0.000 0.500 x4
Tl: 0.250 0.250 0.250 x4
Zn: 0.250 0.250 0.750 x4

Computed properties:
energy relative to the elements = -272 meV per atom
magnetic moment = 0.00 μB per formula unit



(7)
DFT (PBE) results for crystalline CaTm2Sc at its relaxed geometry.

Lattice parameters (Å, degrees): 3.4540 3.4540 36.2529 90.00 90.00 120.00
Space group R-3m (No. 166, hexagonal axes)
Unique sites:
Ca: 0.0000 0.0000 0.0000 x3
Tm: 0.0000 0.0000 0.0937 x6
Sc: 0.0000 0.0000 0.5000 x3

Computed properties:
energy relative to the elements = 192 meV per atom
energy relative to the lowest polymorph listed for this composition = 0.112 eV/atom
magnetic moment = 0.00 μB per formula unit



(8)
DFT (PBE) results for crystalline CaTm2Sc at its relaxed geometry.

Lattice parameters (Å, degrees): 7.870 7.870 7.870 90.00 90.00 90.00
Space group Fm-3m (No. 225)
Unique sites:
Ca: 0.000 0.000 0.000 x4
Tm: 0.250 0.250 0.250 x8
Sc: 0.000 0.000 0.500 x4

Computed properties:
energy relative to the elements = 201 meV per atom
energy relative to the lowest polymorph listed for this composition = 0.121 eV/atom
magnetic moment = 0.00 μB per formula unit



- Number 7 is which compound?
  CaTm2Sc